Below is crystalline BaMoIrAu at its relaxed geometry, with properties calculated at the PBE level.

Computed properties:
As for the total magnetic moment: 2.47 μB per formula unit. For the energy above the lowest structure with this stoichiometry, the calculation gives 97 kJ/mol of formula units.

a b c (Å): 4.890 4.890 4.890
angles (deg): 60.00 60.00 60.00
Sites, in units of the cell vectors:
Ba (0.250, 0.250, 0.250)
Au (0.750, 0.750, 0.750)
Ir (0.500, 0.500, 0.500)
Mo (0.000, 0.000, 0.000)